# 1
# CsCoRe2 (PBE, optimized geometry)
data_CsCoRe2
_cell_length_a 5.0447
_cell_length_b 5.0447
_cell_length_c 16.3394
_cell_angle_alpha 90.00
_cell_angle_beta 90.00
_cell_angle_gamma 90.00
_symmetry_space_group_name_H-M 'I -4 2 d'
_symmetry_Int_Tables_number 122
_symmetry_space_group_name_Hall 'I -4 2bw'
loop_
_atom_site_label
_atom_site_fract_x
_atom_site_fract_y
_atom_site_fract_z
_atom_site_occupancy
Cs1 0.0000 0.0000 0.0000 1
Co1 0.0000 0.0000 0.5000 1
Re1 0.0098 0.2500 0.6250 1
# * magnetization: 0.0 μB per cell
# * formation enthalpy at 0 K: 1.87 eV/atom


# 2
# Ce2PPd (PBE, optimized geometry)
data_Ce2PPd
_cell_length_a 3.6433
_cell_length_b 3.6433
_cell_length_c 26.6428
_cell_angle_alpha 90.00
_cell_angle_beta 90.00
_cell_angle_gamma 120.00
_symmetry_space_group_name_H-M 'R -3 m'
_symmetry_Int_Tables_number 166
_symmetry_space_group_name_Hall '-R 3 2"'
loop_
_atom_site_label
_atom_site_fract_x
_atom_site_fract_y
_atom_site_fract_z
_atom_site_occupancy
Ce1 0.0000 0.0000 0.0998 1
P1 0.0000 0.0000 0.5000 1
Pd1 0.0000 0.0000 0.0000 1
# * distance to the lowest polymorph of the same formula: 399 meV per atom
# * magnetization: 4.3 μB per cell
# * formation enthalpy at 0 K: -0.51 eV/atom


# 3
# DyHo4Pd4 (PBE, optimized geometry)
data_DyHo4Pd4
_cell_length_a 8.9330
_cell_length_b 8.9330
_cell_length_c 5.7613
_cell_angle_alpha 90.00
_cell_angle_beta 90.00
_cell_angle_gamma 90.00
_symmetry_space_group_name_H-M 'P 42/n'
_symmetry_Int_Tables_number 86
loop_
_symmetry_equiv_pos_as_xyz
'x,y,z'
'-x,-y,-z'
'-y,x+1/2,z+1/2'
'y,-x+1/2,-z+1/2'
'-x+1/2,-y+1/2,z'
'x+1/2,y+1/2,-z'
'y+1/2,-x,z+1/2'
'-y+1/2,x,-z+1/2'
loop_
_atom_site_label
_atom_site_fract_x
_atom_site_fract_y
_atom_site_fract_z
_atom_site_occupancy
Dy1 0.2500 0.2500 0.2500 1
Ho1 0.0708 0.6583 0.1609 1
Pd1 0.0320 0.6266 0.6574 1
# * magnetization: 0.0 μB per cell
# * formation enthalpy at 0 K: -0.68 eV/atom


# 4
# MgWBr2 (PBE, optimized geometry)
data_MgWBr2
_cell_length_a 3.4318
_cell_length_b 5.5604
_cell_length_c 9.8819
_cell_angle_alpha 90.00
_cell_angle_beta 90.00
_cell_angle_gamma 90.00
_symmetry_space_group_name_H-M 'C m m 2'
_symmetry_Int_Tables_number 35
loop_
_symmetry_equiv_pos_as_xyz
'x,y,z'
'-x,-y,z'
'-x,y,z'
'x,-y,z'
'x+1/2,y+1/2,z'
'-x+1/2,-y+1/2,z'
'-x+1/2,y+1/2,z'
'x+1/2,-y+1/2,z'
loop_
_atom_site_label
_atom_site_fract_x
_atom_site_fract_y
_atom_site_fract_z
_atom_site_occupancy
Mg1 0.0000 0.0000 0.0000 1
W1 0.0000 0.5000 0.2395 1
Br1 0.0000 0.0000 0.4339 1
Br2 0.0000 0.5000 0.8132 1
# * distance to the lowest polymorph of the same formula: 257 meV per atom
# * magnetization: 2.1 μB per cell
# * E_form (uncorrected): 0.214 eV/atom


# 5
# CsNpBe2Br8 (PBE, optimized geometry)
data_CsNpBe2Br8
_cell_length_a 6.6881
_cell_length_b 6.6881
_cell_length_c 32.4971
_cell_angle_alpha 90.00
_cell_angle_beta 90.00
_cell_angle_gamma 120.00
_symmetry_space_group_name_H-M 'R -3'
_symmetry_Int_Tables_number 148
_symmetry_space_group_name_Hall '-R 3'
loop_
_atom_site_label
_atom_site_fract_x
_atom_site_fract_y
_atom_site_fract_z
_atom_site_occupancy
Cs1 0.0000 0.0000 0.0000 1
Np1 0.0000 0.0000 0.5000 1
Be1 0.0000 0.0000 0.2448 1
Br1 0.0000 0.0000 0.3099 1
Br2 0.0043 0.3163 0.7789 1
# * magnetization: 12.0 μB per cell
# * E_form (uncorrected): -1.231 eV/atom


# 6
# Tm4TcPb (PBE, optimized geometry)
data_Tm4TcPb
_cell_length_a 8.8479
_cell_length_b 13.2866
_cell_length_c 6.1201
_cell_angle_alpha 90.00
_cell_angle_beta 112.46
_cell_angle_gamma 90.00
_symmetry_space_group_name_H-M 'C 1 2/c 1'
_symmetry_Int_Tables_number 15
loop_
_symmetry_equiv_pos_as_xyz
'x,y,z'
'-x,-y,-z'
'-x,y,-z+1/2'
'x,-y,z+1/2'
'x+1/2,y+1/2,z'
'-x+1/2,-y+1/2,-z'
'-x+1/2,y+1/2,-z+1/2'
'x+1/2,-y+1/2,z+1/2'
loop_
_atom_site_label
_atom_site_fract_x
_atom_site_fract_y
_atom_site_fract_z
_atom_site_occupancy
Tm1 0.1092 0.1663 0.0604 1
Tm2 0.2261 0.4287 0.3511 1
Tc1 0.0000 0.9998 0.2500 1
Pb1 0.0000 0.3701 0.7500 1
# * magnetization: 0.0 μB per cell
# * formation enthalpy at 0 K: -0.30 eV/atom


# 7
# CeBH4 (PBE, optimized geometry)
data_CeBH4
_cell_length_a 4.5271
_cell_length_b 12.9691
_cell_length_c 3.8318
_cell_angle_alpha 90.00
_cell_angle_beta 90.00
_cell_angle_gamma 90.00
_symmetry_space_group_name_H-M 'C m c 21'
_symmetry_Int_Tables_number 36
loop_
_symmetry_equiv_pos_as_xyz
'x,y,z'
'-x,-y,z+1/2'
'-x,y,z'
'x,-y,z+1/2'
'x+1/2,y+1/2,z'
'-x+1/2,-y+1/2,z+1/2'
'-x+1/2,y+1/2,z'
'x+1/2,-y+1/2,z+1/2'
loop_
_atom_site_label
_atom_site_fract_x
_atom_site_fract_y
_atom_site_fract_z
_atom_site_occupancy
Ce1 0.0000 0.1366 0.0000 1
B1 0.0000 0.3458 0.0577 1
H1 0.0000 0.0404 0.4941 1
H2 0.0000 0.2856 0.3052 1
H3 0.0000 0.3166 0.7544 1
H4 0.0000 0.4356 0.1471 1
# * magnetization: 2.6 μB per cell
# * total DFT energy (no corrections): -4.565 eV per atom


# 8
# PrY2ErS4 (PBE, optimized geometry)
data_PrY2ErS4
_cell_length_a 6.8426
_cell_length_b 3.9089
_cell_length_c 6.9138
_cell_angle_alpha 90.00
_cell_angle_beta 108.89
_cell_angle_gamma 90.00
_symmetry_space_group_name_H-M 'P 1 2/m 1'
_symmetry_Int_Tables_number 10
loop_
_symmetry_equiv_pos_as_xyz
'x,y,z'
'-x,-y,-z'
'-x,y,-z'
'x,-y,z'
loop_
_atom_site_label
_atom_site_fract_x
_atom_site_fract_y
_atom_site_fract_z
_atom_site_occupancy
Pr1 0.0000 0.0000 0.0000 1
Y1 0.5000 0.0000 0.5000 1
Y2 0.5000 0.5000 0.0000 1
Er1 0.0000 0.5000 0.5000 1
S1 0.2514 0.0000 0.7403 1
S2 0.2596 0.5000 0.2636 1
# * magnetization: 0.0 μB per cell
# * E_form (uncorrected): -1.981 eV/atom


# 9
# CrCo2Pb (PBE, optimized geometry)
data_CrCo2Pb
_cell_length_a 3.4335
_cell_length_b 3.4335
_cell_length_c 19.2812
_cell_angle_alpha 90.00
_cell_angle_beta 90.00
_cell_angle_gamma 120.00
_symmetry_space_group_name_H-M 'R 3 m'
_symmetry_Int_Tables_number 160
_symmetry_space_group_name_Hall 'R 3 -2"'
loop_
_atom_site_label
_atom_site_fract_x
_atom_site_fract_y
_atom_site_fract_z
_atom_site_occupancy
Cr1 0.0000 0.0000 0.0000 1
Co1 0.0000 0.0000 0.4465 1
Co2 0.0000 0.0000 0.7149 1
Pb1 0.0000 0.0000 0.2153 1
# * magnetization: 6.8 μB per cell
# * formation enthalpy at 0 K: 0.78 eV/atom


# 10
# BaIn2PdO (PBE, optimized geometry)
data_BaIn2PdO
_cell_length_a 6.6970
_cell_length_b 6.6970
_cell_length_c 5.3539
_cell_angle_alpha 90.00
_cell_angle_beta 90.00
_cell_angle_gamma 90.00
_symmetry_space_group_name_H-M 'P 4/m m m'
_symmetry_Int_Tables_number 123
_symmetry_space_group_name_Hall '-P 4 2'
loop_
_atom_site_label
_atom_site_fract_x
_atom_site_fract_y
_atom_site_fract_z
_atom_site_occupancy
Ba1 0.0000 0.0000 0.0000 1
In1 0.0000 0.5000 0.0000 1
Pd1 0.0000 0.0000 0.5000 1
O1 0.5000 0.5000 0.5000 1
# * magnetization: 0.0 μB per cell
# * E_form (uncorrected): 1.191 eV/atom


# 11
# TiMn2Al2 (PBE, optimized geometry)
data_TiMn2Al2
_cell_length_a 7.2782
_cell_length_b 7.2782
_cell_length_c 2.7050
_cell_angle_alpha 90.00
_cell_angle_beta 90.00
_cell_angle_gamma 90.00
_symmetry_space_group_name_H-M 'P 4/m b m'
_symmetry_Int_Tables_number 127
_symmetry_space_group_name_Hall '-P 4 2ab'
loop_
_atom_site_label
_atom_site_fract_x
_atom_site_fract_y
_atom_site_fract_z
_atom_site_occupancy
Ti1 0.0000 0.0000 0.0000 1
Mn1 0.1206 0.3794 0.0000 1
Al1 0.1746 0.6746 0.5000 1
# * distance to the lowest polymorph of the same formula: 43 meV per atom
# * magnetization: 8.8 μB per cell
# * formation enthalpy at 0 K: -0.14 eV/atom


# 12
# LiBeRh2O6 (PBE, optimized geometry)
data_LiBeRh2O6
_cell_length_a 4.7649
_cell_length_b 4.7649
_cell_length_c 4.5533
_cell_angle_alpha 90.00
_cell_angle_beta 90.00
_cell_angle_gamma 90.00
_symmetry_space_group_name_H-M 'P 4 m m'
_symmetry_Int_Tables_number 99
loop_
_symmetry_equiv_pos_as_xyz
'x,y,z'
'-y,x,z'
'-x,-y,z'
'y,-x,z'
'-x,y,z'
'y,x,z'
'x,-y,z'
'-y,-x,z'
loop_
_atom_site_label
_atom_site_fract_x
_atom_site_fract_y
_atom_site_fract_z
_atom_site_occupancy
Li1 0.0000 0.0000 0.0000 1
Be1 0.5000 0.5000 0.0342 1
Rh1 0.0000 0.5000 0.4111 1
O1 0.0000 0.0000 0.5944 1
O2 0.2600 0.2600 0.1799 1
O3 0.5000 0.5000 0.6806 1
# * magnetization: 0.0 μB per cell
# * E_form (uncorrected): -0.627 eV/atom